VASP calculation (GGA+U) on crystalline PmCo3Pd4O12 at its relaxed geometry.

Properties
Fermi-level density of states: 5.081 states/eV/cell
raw total energy: -118.70 eV per cell
total magnetic moment: 9.0 μB/f.u.

a b c (Å): 6.6254 6.6254 6.6254
angles (deg): 109.47 109.47 109.47
Atoms (fractional coordinates):
Pm  0.0000  0.0000  0.0000
Co  0.0000  0.5000  0.5000
Co  0.5000  0.5000  0.0000
Co  0.5000  0.0000  0.5000
Pd  0.5000  0.0000  0.0000
Pd  0.5000  0.5000  0.5000
Pd  0.0000  0.5000  0.0000
Pd  0.0000  0.0000  0.5000
O  0.3037  0.8331  0.1368
O  0.6963  0.1669  0.8632
O  0.6963  0.8331  0.5293
O  0.8632  0.6963  0.1669
O  0.8331  0.1368  0.3037
O  0.1669  0.4707  0.3037
O  0.4707  0.3037  0.1669
O  0.1669  0.8632  0.6963
O  0.3037  0.1669  0.4707
O  0.1368  0.3037  0.8331
O  0.8331  0.5293  0.6963
O  0.5293  0.6963  0.8331